Material: V3FeO
Method: DFT, GGA+U
State: relaxed

Unit cell a=4.6734 b=4.6734 c=4.6734 alpha=90.00 beta=90.00 gamma=90.00
Site moments in Bohr magnetons follow the coordinates.
Sites, in units of the cell vectors:
V  0.0000  0.5000  0.0000  2.71
V  0.5000  0.0000  0.0000  2.71
V  0.0000  0.0000  0.5000  2.71
Fe  0.0000  0.0000  0.0000  -2.67
O  0.5000  0.5000  0.5000  -0.25

Properties
The calculated density is 3.65 Mg/m³. Its crystal system is cubic. As for the raw total energy: -23.66 eV per formula unit.